A plane-wave DFT calculation with GGA-PBE was carried out for a geometry-optimized TbLuSnTe3 structure.

Cell and atoms, written as CIF:
```
data_TbLuSnTe3
_chemical_formula_sum 'Tb4 Lu4 Sn4 Te12'
_symmetry_space_group_name_H-M 'C m c m'
_symmetry_Int_Tables_number 63
_symmetry_space_group_name_Hall '-C 2c 2'
_cell_length_a 4.3590
_cell_length_b 15.2283
_cell_length_c 11.8313
_cell_angle_alpha 90.00
_cell_angle_beta 90.00
_cell_angle_gamma 90.00
loop_
_atom_site_label
_atom_site_type_symbol
_atom_site_fract_x
_atom_site_fract_y
_atom_site_fract_z
_atom_site_occupancy
Tb1 Tb 0.0000 0.0000 0.0000 1
Lu1 Lu 0.0000 0.4670 0.2500 1
Sn1 Sn 0.0000 0.1955 0.7500 1
Te1 Te 0.0000 0.0954 0.2500 1
Te2 Te 0.0000 0.3575 0.0440 1
```

=====

A plane-wave DFT calculation with GGA-PBE was carried out for a geometry-optimized TbErSi4Ni2 structure.

Cell and atoms, written as CIF:
```
data_TbErSi4Ni2
_chemical_formula_sum 'Tb2 Er2 Si8 Ni4'
_symmetry_space_group_name_H-M 'A m m 2'
_symmetry_Int_Tables_number 38
_symmetry_space_group_name_Hall 'A 2 -2'
_cell_length_a 3.9649
_cell_length_b 3.9841
_cell_length_c 16.3698
_cell_angle_alpha 90.00
_cell_angle_beta 90.00
_cell_angle_gamma 90.00
loop_
_atom_site_label
_atom_site_type_symbol
_atom_site_fract_x
_atom_site_fract_y
_atom_site_fract_z
_atom_site_occupancy
Tb1 Tb 0.0000 0.0000 0.0000 1
Er1 Er 0.5000 0.0000 0.7891 1
Si1 Si 0.0000 0.0000 0.3546 1
Si2 Si 0.0000 0.0000 0.6454 1
Si3 Si 0.5000 0.0000 0.1453 1
Si4 Si 0.5000 0.0000 0.4342 1
Ni1 Ni 0.0000 0.0000 0.2174 1
Ni2 Ni 0.5000 0.0000 0.5728 1
```

=====

A plane-wave DFT calculation with GGA-PBE was carried out for a geometry-optimized YHo2Er4Ni2Te2 structure.

Cell and atoms, written as CIF:
```
data_YHo2Er4Ni2Te2
_chemical_formula_sum 'Y2 Ho4 Er8 Ni4 Te4'
_symmetry_space_group_name_H-M 'I m m 2'
_symmetry_Int_Tables_number 44
_symmetry_space_group_name_Hall 'I 2 -2'
_cell_length_a 3.8323
_cell_length_b 15.5471
_cell_length_c 9.5077
_cell_angle_alpha 90.00
_cell_angle_beta 90.00
_cell_angle_gamma 90.00
loop_
_atom_site_label
_atom_site_type_symbol
_atom_site_fract_x
_atom_site_fract_y
_atom_site_fract_z
_atom_site_occupancy
Y1 Y 0.0000 0.0000 0.0000 1
Ho1 Ho 0.0000 0.1325 0.4180 1
Er1 Er 0.0000 0.3147 0.6200 1
Er2 Er 0.0000 0.3525 0.2698 1
Ni1 Ni 0.0000 0.2375 0.9279 1
Te1 Te 0.0000 0.0000 0.6649 1
Te2 Te 0.0000 0.5000 0.7640 1
```

=====

no.,E_tot (eV/atom)
1,-4.5952
2,-6.0877
3,-5.3499